(1)
# InGaAg2, relaxed, DFT PBE-GGA
# Excess energy over the best structure of this formula in the dataset (meV/atom): 35
# Total magnetization (μB/f.u.): 0.00
# D(E_F) (states/eV/f.u.): 1.4
# Crystal system: cubic
# E_form (meV per atom): 66
data_InGaAg2
_chemical_formula_sum 'In4 Ga4 Ag8'
_space_group_name_H-M_alt 'F m -3 m'
_space_group_IT_number 225
_space_group_name_Hall '-F 4 2 3'
_cell_length_a 6.832
_cell_length_b 6.832
_cell_length_c 6.832
_cell_angle_alpha 90.00
_cell_angle_beta 90.00
_cell_angle_gamma 90.00
loop_
_atom_site_label
_atom_site_type_symbol
_atom_site_fract_x
_atom_site_fract_y
_atom_site_fract_z
In1 In 0.000 0.000 0.000
Ga1 Ga 0.000 0.000 0.500
Ag1 Ag 0.250 0.250 0.250

(2)
# KInGaAg2, relaxed, DFT PBE-GGA
# Excess energy over the best structure of this formula in the dataset (meV/atom): 0
# Total magnetization (μB/f.u.): 0.00
# D(E_F) (states/eV/f.u.): 1.7
# Crystal system: orthorhombic
# E_form (meV per atom): -50
data_KInGaAg2
_chemical_formula_sum 'K2 In2 Ga2 Ag4'
_space_group_name_H-M_alt 'I m m 2'
_space_group_IT_number 44
_cell_length_a 4.558
_cell_length_b 4.686
_cell_length_c 11.829
_cell_angle_alpha 90.00
_cell_angle_beta 90.00
_cell_angle_gamma 90.00
loop_
_space_group_symop_operation_xyz
'x,y,z'
'-x,-y,z'
'-x,y,z'
'x,-y,z'
'x+1/2,y+1/2,z+1/2'
'-x+1/2,-y+1/2,z+1/2'
'-x+1/2,y+1/2,z+1/2'
'x+1/2,-y+1/2,z+1/2'
loop_
_atom_site_label
_atom_site_type_symbol
_atom_site_fract_x
_atom_site_fract_y
_atom_site_fract_z
K1 K 0.000 0.000 0.000
In1 In 0.000 0.500 0.750
Ga1 Ga 0.000 0.000 0.619
Ag1 Ag 0.000 0.000 0.396
Ag2 Ag 0.000 0.500 0.245

(3)
# KIn4GaAg2, relaxed, DFT PBE-GGA
# Total magnetization (μB/f.u.): 0.00
# D(E_F) (states/eV/f.u.): 2.5
# Crystal system: trigonal
# E_form (meV per atom): -20
data_KIn4GaAg2
_chemical_formula_sum 'K3 In12 Ga3 Ag6'
_space_group_name_H-M_alt 'R -3 m'
_space_group_IT_number 166
_space_group_name_Hall '-R 3 2"'
_cell_length_a 4.8568
_cell_length_b 4.8568
_cell_length_c 31.9863
_cell_angle_alpha 90.00
_cell_angle_beta 90.00
_cell_angle_gamma 120.00
loop_
_atom_site_label
_atom_site_type_symbol
_atom_site_fract_x
_atom_site_fract_y
_atom_site_fract_z
K1 K 0.0000 0.0000 0.0000
In1 In 0.0000 0.0000 0.1285
In2 In 0.0000 0.0000 0.4059
Ga1 Ga 0.0000 0.0000 0.5000
Ag1 Ag 0.0000 0.0000 0.2382

(4)
# KInGaAg2, relaxed, DFT PBE-GGA
# Excess energy over the best structure of this formula in the dataset (meV/atom): 142
# Total magnetization (μB/f.u.): 0.00
# D(E_F) (states/eV/f.u.): 1.7
# Crystal system: tetragonal
# E_form (meV per atom): 91
data_KInGaAg2
_chemical_formula_sum 'K1 In1 Ga1 Ag2'
_space_group_name_H-M_alt 'P 4/m m m'
_space_group_IT_number 123
_space_group_name_Hall '-P 4 2'
_cell_length_a 5.148
_cell_length_b 5.148
_cell_length_c 5.281
_cell_angle_alpha 90.00
_cell_angle_beta 90.00
_cell_angle_gamma 90.00
loop_
_atom_site_label
_atom_site_type_symbol
_atom_site_fract_x
_atom_site_fract_y
_atom_site_fract_z
K1 K 0.000 0.000 0.000
In1 In 0.500 0.500 0.000
Ga1 Ga 0.500 0.500 0.500
Ag1 Ag 0.000 0.500 0.500

no.,E_tot (eV/atom)
1,-2.801
2,-2.563
3,-2.618
4,-2.422